Material: Pa2RhC
Method: DFT, PBE-GGA
State: optimized geometry

E above lowest polymorph = 214 meV/atom
Spin magnetization = 0.00 μB/f.u.

a b c (Å): 3.5438 3.5438 20.6936
angles (deg): 90.00 90.00 120.00
Last column: nearest neighbours and their distance in Å.
Space group R3m (No. 160, hexagonal axes)
Symmetry-distinct sites (fractional):
Pa 0.0000 0.0000 0.0000  3 C 2.47, 3 Rh 2.75
Pa 0.0000 0.0000 0.1428  3 C 2.58
Rh 0.0000 0.0000 0.5779  6 Pa 2.75-2.94
C 0.0000 0.0000 0.4005  6 Pa 2.47-2.58